# NaTiI2N

A relaxed NaTiI2N crystal (PBE, Alexandria via LeMat-Bulk).

a = 5.537 Å, b = 5.537 Å, c = 4.187 Å
α = 90.00°, β = 90.00°, γ = 90.00°
Element x y z (fractional)
Na 0.000 0.000 0.000
I 0.500 0.000 0.000
I 0.000 0.500 0.000
N 0.000 0.000 0.500
Ti 0.500 0.500 0.500

The value obtained for the raw total energy is -14.5 eV for the cell shown. As for the raw formation energy: 1.2282 eV per atom. As for the density of states at the Fermi level: 2.479 states/eV per atom. The offset from the most stable computed form comes out at 41.60 kcal/mol of atoms.